## Pu5Rh6 (PBE)

Data for a relaxed structure of Pu5Rh6.

abc: 8.2856 8.2856 8.2856
angles: 148.80 128.81 61.18
With the nearest neighbours (Å) after each atom.
Fractional positions:
Pu 0.0000 0.0000 0.0000  8 Rh 2.72-2.93
Pu 0.1857 0.6857 0.5000  8 Rh 2.80-3.07
Pu 0.3689 0.3689 0.0000  6 Rh 2.76-2.98
Pu 0.6311 0.6311 0.0000  6 Rh 2.76-2.98
Pu 0.8143 0.3143 0.5000  8 Rh 2.80-3.07
Rh 0.0660 0.8319 0.2341  6 Pu 2.80-2.98
Rh 0.2168 0.5000 0.7168  4 Pu 2.72-2.76
Rh 0.4022 0.1681 0.2341  6 Pu 2.80-2.98
Rh 0.5978 0.8319 0.7659  6 Pu 2.80-2.98
Rh 0.7832 0.5000 0.2832  4 Pu 2.72-2.76
Rh 0.9340 0.1681 0.7659  6 Pu 2.80-2.98

Magnetization   5.2 μB/cell
Uncorrected energy   -119.114 eV/cell
V   20.7 Å³/atom
Calculated formation energy   -29.3 kJ per mole of atoms
Space group   No. 71

---

## CaPuTc4 (PBE)

Data for a relaxed structure of CaPuTc4.

abc: 5.3928 5.3928 5.3928
angles: 60.00 60.00 60.00
With the nearest neighbours (Å) after each atom.
Fractional positions:
Ca 0.0000 0.0000 0.0000  12 Tc 3.16, 4 Pu 3.30
Pu 0.2500 0.2500 0.2500  12 Tc 3.16, 4 Ca 3.30
Tc 0.1242 0.6252 0.6252  6 Tc 2.69-2.70
Tc 0.6252 0.1242 0.6252  6 Tc 2.69-2.70
Tc 0.6252 0.6252 0.1242  6 Tc 2.69-2.70
Tc 0.6252 0.6252 0.6252  6 Tc 2.69-2.70

Magnetization   6.0 μB/cell
Uncorrected energy   -56.733 eV/cell
V   18.5 Å³/atom
Calculated formation energy   17.1 kJ per mole of atoms
Space group   No. 216

---

## RbYAl3 (PBE)

Data for a relaxed structure of RbYAl3.

abc: 5.7856 5.7856 5.7856
angles: 90.00 90.00 90.00
With the nearest neighbours (Å) after each atom.
Fractional positions:
Rb 0.0000 0.0000 0.0000  12 Al 4.09
Y 0.5000 0.5000 0.5000  6 Al 2.89
Al 0.0000 0.5000 0.5000  2 Y 2.89
Al 0.5000 0.0000 0.5000  2 Y 2.89
Al 0.5000 0.5000 0.0000  2 Y 2.89

Magnetization   1.8 μB/cell
Uncorrected energy   -15.115 eV/cell
Distance to the lowest polymorph of the same formula   0.0 kJ/mol of formula units
V   38.7 Å³/atom
Calculated formation energy   68.4 kJ per mole of atoms
Space group   No. 221

---

## Y2ZnIr (PBE)

Data for a relaxed structure of Y2ZnIr.

abc: 7.5989 7.5989 7.5989
angles: 30.72 30.72 30.72
With the nearest neighbours (Å) after each atom.
Fractional positions:
Y 0.2374 0.2374 0.2374  3 Ir 2.79
Y 0.7626 0.7626 0.7626  3 Ir 2.79
Zn 0.0000 0.0000 0.0000  6 Y 3.12
Ir 0.5000 0.5000 0.5000  6 Y 2.79

Magnetization   0.0 μB/cell
Uncorrected energy   -24.767 eV/cell
V   25.4 Å³/atom
Calculated formation energy   -41.1 kJ per mole of atoms
Space group   No. 166

---

## RbMnI3 (PBE)

Data for a relaxed structure of RbMnI3.

abc: 10.0713 10.0713 6.2388
angles: 90.00 90.00 99.57
With the nearest neighbours (Å) after each atom.
Fractional positions:
Rb 0.2082 0.7918 0.7500  4 I 3.56-3.68
Rb 0.7918 0.2082 0.2500  4 I 3.56-3.68
Mn 0.4746 0.5254 0.7500  2 I 2.57
Mn 0.5254 0.4746 0.2500  2 I 2.57
I 0.0000 0.0000 0.0000  2 I 3.12
I 0.0000 0.0000 0.5000  2 I 3.12
I 0.2217 0.4285 0.7500  1 Mn 2.57
I 0.4285 0.2217 0.2500  1 Mn 2.57
I 0.5715 0.7783 0.7500  1 Mn 2.57
I 0.7783 0.5715 0.2500  1 Mn 2.57

Energy relative to the elements, uncorrected   -479 meV per atom
Magnetization   8.9 μB/cell
Uncorrected energy   -34.365 eV/cell
V   62.4 Å³/atom
Space group   No. 63

---

## ZnGa4Ag (PBE)

Data for a relaxed structure of ZnGa4Ag.

abc: 8.1440 5.0753 5.3270
angles: 90.00 99.89 90.00
With the nearest neighbours (Å) after each atom.
Fractional positions:
Zn 0.0000 0.0764 0.2500  2 Zn 2.77, 8 Ga 2.85-3.04
Zn 0.0000 0.9236 0.7500  2 Zn 2.77, 8 Ga 2.85-3.04
Ga 0.1641 0.4018 0.9252  7 Ga 2.84-3.08, 3 Zn 2.85-3.04, 1 Ag 2.98
Ga 0.1641 0.5982 0.4252  7 Ga 2.84-3.08, 3 Zn 2.85-3.04, 1 Ag 2.98
Ga 0.3292 0.1015 0.5762  3 Ag 2.82-2.99, 6 Ga 2.86-3.07, 2 Zn 2.94-3.12
Ga 0.3292 0.8985 0.0762  3 Ag 2.82-2.99, 6 Ga 2.86-3.07, 2 Zn 2.94-3.12
Ga 0.6708 0.1015 0.9238  3 Ag 2.82-2.99, 6 Ga 2.86-3.07, 2 Zn 2.94-3.12
Ga 0.6708 0.8985 0.4238  3 Ag 2.82-2.99, 6 Ga 2.86-3.07, 2 Zn 2.94-3.12
Ga 0.8359 0.4018 0.5748  7 Ga 2.84-3.08, 3 Zn 2.85-3.04, 1 Ag 2.98
Ga 0.8359 0.5982 0.0748  7 Ga 2.84-3.08, 3 Zn 2.85-3.04, 1 Ag 2.98
Ag 0.5000 0.3921 0.2500  8 Ga 2.82-2.99, 2 Ag 2.88
Ag 0.5000 0.6079 0.7500  8 Ga 2.82-2.99, 2 Ag 2.88

Magnetization   0.0 μB/cell
Uncorrected energy   -31.944 eV/cell
Distance to the lowest polymorph of the same formula   0.0 kJ/mol of formula units
V   18.1 Å³/atom
Calculated formation energy   4.2 kJ per mole of atoms
Space group   No. 13

---

## SrAsH2Ir (PBE)

Data for a relaxed structure of SrAsH2Ir.

abc: 4.1931 4.1931 4.7512
angles: 90.00 90.00 90.00
With the nearest neighbours (Å) after each atom.
Fractional positions:
Sr 0.0000 0.0000 0.0000  4 Ir 2.96, 8 H 3.17
As 0.5000 0.5000 0.5000  4 H 2.10
H 0.0000 0.5000 0.5000  2 As 2.10
H 0.5000 0.0000 0.5000  2 As 2.10
Ir 0.5000 0.5000 0.0000  2 As 2.38

Magnetization   0.0 μB/cell
Uncorrected energy   -21.322 eV/cell
V   16.7 Å³/atom
Space group   No. 123

---

## Ce8Os2Rh (PBE)

Data for a relaxed structure of Ce8Os2Rh.

abc: 7.4513 7.4513 5.7837
angles: 101.22 101.22 114.67
With the nearest neighbours (Å) after each atom.
Fractional positions:
Ce 0.0995 0.3207 0.5866  1 Ce 2.77, 2 Os 2.80-2.83
Ce 0.2214 0.7786 0.0000  1 Rh 2.78, 2 Os 3.05
Ce 0.3207 0.0995 0.5866  1 Ce 2.77, 2 Os 2.80-2.83
Ce 0.3762 0.3762 0.1753  1 Rh 2.82, 2 Os 3.09
Ce 0.6238 0.6238 0.8247  1 Rh 2.82, 2 Os 3.09
Ce 0.6793 0.9005 0.4134  1 Ce 2.77, 2 Os 2.80-2.83
Ce 0.7786 0.2214 0.0000  1 Rh 2.78, 2 Os 3.05
Ce 0.9005 0.6793 0.4134  1 Ce 2.77, 2 Os 2.80-2.83
Os 0.2982 0.7018 0.5000  8 Ce 2.80-3.09
Os 0.7018 0.2982 0.5000  8 Ce 2.80-3.09
Rh 0.0000 0.0000 0.0000  4 Ce 2.78-2.82

Magnetization   3.1 μB/cell
Uncorrected energy   -79.267 eV/cell
Distance to the lowest polymorph of the same formula   30.3 kJ/mol of formula units
V   24.7 Å³/atom
Calculated formation energy   -17.4 kJ per mole of atoms
Space group   No. 12